*w*
This record from Alexandria describes CsHgSCl2 after structural relaxation. The functional is PBE.

Lattice parameters (Å, degrees): 5.6018 5.6018 4.9966 90.00 90.00 90.00
With the nearest neighbours (Å) after each atom.
Space group P4/mmm (No. 123)
Asymmetric unit:
Cs 0.0000 0.0000 0.0000 (multiplicity 1)  8 Cl 3.75, 4 S 3.96
Hg 0.5000 0.5000 0.5000 (multiplicity 1)  2 S 2.50
S 0.5000 0.5000 0.0000 (multiplicity 1)  2 Hg 2.50
Cl 0.0000 0.5000 0.5000 (multiplicity 2)  2 Hg 2.80

Results
The calculated density comes out at 4.622 Mg/m³. The calculation puts the total magnetization at 0.8 Bohr magnetons per cell.



*x*
This record from Alexandria describes CsHgSCl2 after structural relaxation. The functional is PBE.

Lattice parameters (Å, degrees): 6.2948 6.2948 5.7402 90.00 90.00 90.00
With the nearest neighbours (Å) after each atom.
Space group P4/mmm (No. 123)
Asymmetric unit:
Cs 0.0000 0.0000 0.0000 (multiplicity 1)  2 S 2.87, 4 Cl 3.15
Hg 0.5000 0.5000 0.5000 (multiplicity 1)  8 Cl 4.26, 4 S 4.45
S 0.0000 0.0000 0.5000 (multiplicity 1)  2 Cs 2.87
Cl 0.0000 0.5000 0.0000 (multiplicity 2)  2 Cs 3.15

Results
The calculated density comes out at 3.186 Mg/m³. The calculation puts the total magnetization at 2.1 Bohr magnetons per cell.



It is *w* that is the most stable of them.



*w*
This record from Alexandria describes Cs2TaHgCl6 after structural relaxation. The functional is PBE.

Lattice parameters (Å, degrees): 7.3743 7.3743 56.9793 90.00 90.00 120.00
With the nearest neighbours (Å) after each atom.
Space group R-3m (No. 166, hexagonal axes)
Asymmetric unit:
Cs 0.0000 0.0000 0.1412 (multiplicity 6)  9 Cl 3.65-3.69
Cs 0.0000 0.0000 0.3078 (multiplicity 6)  9 Cl 3.65-3.69
Ta 0.0000 0.0000 0.0000 (multiplicity 3)  6 Cl 2.43
Ta 0.0000 0.0000 0.5000 (multiplicity 3)  6 Cl 2.43
Hg 0.0000 0.0000 0.4155 (multiplicity 6)  6 Cl 3.94-3.99
Cl 0.0228 0.5114 0.1420 (multiplicity 18)  1 Ta 2.43
Cl 0.0230 0.5115 0.6913 (multiplicity 18)  1 Ta 2.43

Results
The calculated density comes out at 3.193 Mg/m³. The calculation puts the total magnetization at 6.0 Bohr magnetons per cell.



*x*
This record from Alexandria describes Cs2TaHgCl6 after structural relaxation. The functional is PBE.

Lattice parameters (Å, degrees): 11.5260 11.5260 11.5260 90.00 90.00 90.00
With the nearest neighbours (Å) after each atom.
Space group Fm-3m (No. 225)
Asymmetric unit:
Cs 0.2500 0.2500 0.2500 (multiplicity 8)  12 Cl 4.10
Ta 0.0000 0.0000 0.0000 (multiplicity 4)  6 Cl 2.42
Hg 0.0000 0.0000 0.5000 (multiplicity 4)  6 Cl 3.34
Cl 0.0000 0.0000 0.2103 (multiplicity 24)  1 Ta 2.42

Results
The calculated density comes out at 3.731 Mg/m³. The calculation puts the total magnetization at 4.0 Bohr magnetons per cell.



It is *w* that is the most stable of them.



*w*
This record from Alexandria describes Cs2ZrHgCl6 after structural relaxation. The functional is PBE.

Lattice parameters (Å, degrees): 11.6750 11.6750 11.6750 90.00 90.00 90.00
With the nearest neighbours (Å) after each atom.
Space group Fm-3m (No. 225)
Asymmetric unit:
Cs 0.2500 0.2500 0.2500 (multiplicity 8)  12 Cl 4.15
Zr 0.0000 0.0000 0.0000 (multiplicity 4)  6 Cl 2.49
Hg 0.0000 0.0000 0.5000 (multiplicity 4)  6 Cl 3.35
Cl 0.0000 0.0000 0.2133 (multiplicity 24)  1 Zr 2.49

Results
The calculated density comes out at 3.215 Mg/m³. The calculation puts the total magnetization at 0.0 Bohr magnetons per cell.



*x*
This record from Alexandria describes Cs2ZrHgCl6 after structural relaxation. The functional is PBE.

Lattice parameters (Å, degrees): 7.4851 7.4851 57.6329 90.00 90.00 120.00
With the nearest neighbours (Å) after each atom.
Space group R-3m (No. 166, hexagonal axes)
Asymmetric unit:
Cs 0.0000 0.0000 0.1417 (multiplicity 6)  9 Cl 3.66-3.74
Cs 0.0000 0.0000 0.3086 (multiplicity 6)  9 Cl 3.66-3.74
Zr 0.0000 0.0000 0.0000 (multiplicity 3)  6 Cl 2.50
Zr 0.0000 0.0000 0.5000 (multiplicity 3)  6 Cl 2.50
Hg 0.0000 0.0000 0.4153 (multiplicity 6)  6 Cl 4.00-4.01
Cl 0.0179 0.5089 0.1418 (multiplicity 18)  1 Zr 2.50
Cl 0.0182 0.5091 0.6915 (multiplicity 18)  1 Zr 2.50

Results
The calculated density comes out at 2.745 Mg/m³. The calculation puts the total magnetization at 0.0 Bohr magnetons per cell.



It is *x* that is the most stable of them.



*w*
This record from Alexandria describes CsHo2Cl7 after structural relaxation. The functional is PBE.

Lattice parameters (Å, degrees): 14.3879 6.9922 12.6735 90.00 90.00 90.00
With the nearest neighbours (Å) after each atom.
Space group Pnma (No. 62)
Asymmetric unit:
Cs 0.0311 0.2500 0.2065 (multiplicity 4)  10 Cl 3.68-3.76
Ho 0.2433 0.2500 0.5512 (multiplicity 4)  7 Cl 2.70-2.76
Ho 0.2473 0.2500 0.8549 (multiplicity 4)  7 Cl 2.69-2.74
Cl 0.1184 0.7500 0.2020 (multiplicity 4)  2 Ho 2.74-2.76
Cl 0.1352 0.0098 0.4363 (multiplicity 8)  2 Ho 2.69-2.71
Cl 0.1370 0.0096 0.9698 (multiplicity 8)  2 Ho 2.71-2.73
Cl 0.1812 0.0121 0.7036 (multiplicity 8)  2 Ho 2.70-2.71

Results
The calculated density comes out at 3.704 Mg/m³. The calculation puts the total magnetization at 0.0 Bohr magnetons per cell.



*x*
This record from Alexandria describes CsHo2Cl7 after structural relaxation. The functional is PBE.

Lattice parameters (Å, degrees): 8.4562 13.8401 5.3056 90.00 90.00 90.00
With the nearest neighbours (Å) after each atom.
Space group Cmmm (No. 65)
Asymmetric unit:
Cs 0.0000 0.0000 0.0000 (multiplicity 2)  8 Cl 3.67
Ho 0.0000 0.3042 0.5000 (multiplicity 4)  7 Cl 2.65-2.75
Cl 0.0000 0.2979 0.0000 (multiplicity 4)  2 Ho 2.65
Cl 0.0000 0.5000 0.5000 (multiplicity 2)  2 Ho 2.71
Cl 0.1884 0.1425 0.5000 (multiplicity 8)  2 Ho 2.74-2.75

Results
The calculated density comes out at 3.802 Mg/m³. The calculation puts the total magnetization at 0.0 Bohr magnetons per cell.



It is *w* that is the most stable of them.



*w*
This record from Alexandria describes CsICl after structural relaxation. The functional is PBE.

Lattice parameters (Å, degrees): 4.9622 4.9622 12.2811 100.85 101.53 90.00
With the nearest neighbours (Å) after each atom.
Space group P-1 (No. 2)
Asymmetric unit:
Cs 0.1649 0.1719 0.3277 (multiplicity 2)  5 Cl 3.51-3.56
I 0.4401 0.4370 0.8813 (multiplicity 2)  1 I 2.81, 1 Cl 3.03
Cl 0.3114 0.3049 0.6250 (multiplicity 2)  1 I 3.03

Results
The calculated density comes out at 3.372 Mg/m³. The calculation puts the total magnetization at 0.0 Bohr magnetons per cell.



*x*
This record from Alexandria describes CsICl after structural relaxation. The functional is PBE.

Lattice parameters (Å, degrees): 4.9567 4.9567 12.5520 90.00 90.00 90.00
With the nearest neighbours (Å) after each atom.
Space group I4mm (No. 107)
Asymmetric unit:
Cs 0.0000 0.0000 0.0000 (multiplicity 2)  4 Cl 3.61
I 0.0000 0.0000 0.3350 (multiplicity 2)  1 Cl 2.92
Cl 0.0000 0.0000 0.5673 (multiplicity 2)  1 I 2.92

Results
The calculated density comes out at 3.180 Mg/m³. The calculation puts the total magnetization at 2.0 Bohr magnetons per cell.



It is *w* that is the most stable of them.



*w*
This record from Alexandria describes CsICl after structural relaxation. The functional is PBE.

Lattice parameters (Å, degrees): 5.3779 5.5555 12.1556 89.52 77.76 61.22
With the nearest neighbours (Å) after each atom.
Space group P1 (No. 1)
Asymmetric unit:
Cs 0.0000 0.0000 0.0000 (multiplicity 1)  5 Cl 3.38-3.75
Cs 0.4793 0.7430 0.3109 (multiplicity 1)  3 Cl 3.54, 3 I 3.93-3.94
I 0.6877 0.1417 0.5074 (multiplicity 1)  1 I 2.86
I 0.7158 0.8676 0.7078 (multiplicity 1)  1 Cl 2.67, 1 I 2.86
Cl 0.2339 0.3589 0.1785 (multiplicity 1)  5 Cs 3.54-3.75
Cl 0.7374 0.6206 0.8974 (multiplicity 1)  1 I 2.67

Results
The calculated density comes out at 3.171 Mg/m³. The calculation puts the total magnetization at 0.0 Bohr magnetons per cell.



*x*
This record from Alexandria describes CsICl after structural relaxation. The functional is PBE.

Lattice parameters (Å, degrees): 5.8468 6.8960 8.1379 91.84 107.97 95.71
With the nearest neighbours (Å) after each atom.
Space group P-1 (No. 2)
Asymmetric unit:
Cs 0.2159 0.2472 0.3513 (multiplicity 2)  4 Cl 3.44-3.54
I 0.2851 0.4116 0.8756 (multiplicity 2)  1 I 2.83, 1 Cl 3.02
Cl 0.1766 0.7532 0.4013 (multiplicity 2)  1 I 3.02

Results
The calculated density comes out at 3.164 Mg/m³. The calculation puts the total magnetization at 0.0 Bohr magnetons per cell.



*y*
This record from Alexandria describes CsICl after structural relaxation. The functional is PBE.

Lattice parameters (Å, degrees): 10.1152 5.9221 12.2727 90.00 106.56 90.00
With the nearest neighbours (Å) after each atom.
Space group C2/m (No. 12)
Asymmetric unit:
Cs 0.2275 0.0000 0.1726 (multiplicity 4)  4 Cl 3.44-3.48
I 0.0393 0.0000 0.6195 (multiplicity 4)  1 I 2.81, 1 Cl 3.03
Cl 0.1248 0.0000 0.8766 (multiplicity 4)  1 I 3.03

Results
The calculated density comes out at 2.783 Mg/m³. The calculation puts the total magnetization at 0.0 Bohr magnetons per cell.



*z*
This record from Alexandria describes CsICl after structural relaxation. The functional is PBE.

Lattice parameters (Å, degrees): 4.9826 8.1204 8.6470 70.17 89.92 72.26
With the nearest neighbours (Å) after each atom.
Space group P1 (No. 1)
Asymmetric unit:
Cs 0.0000 0.0000 0.0000 (multiplicity 1)  4 Cl 3.44-3.67
Cs 0.1971 0.6000 0.5116 (multiplicity 1)  3 Cl 3.34-3.47
I 0.3916 0.2190 0.2638 (multiplicity 1)  1 Cl 2.65, 1 I 2.89
I 0.4919 0.0166 0.6160 (multiplicity 1)  1 I 2.89
Cl 0.3181 0.3676 0.9370 (multiplicity 1)  1 I 2.65
Cl 0.6358 0.7250 0.2369 (multiplicity 1)  4 Cs 3.34-3.44

Results
The calculated density comes out at 3.148 Mg/m³. The calculation puts the total magnetization at 0.0 Bohr magnetons per cell.



It is *y* that is the most stable of them.



*w*
This record from Alexandria describes CsICl after structural relaxation. The functional is PBE.

Lattice parameters (Å, degrees): 5.0388 7.0341 9.9462 70.59 81.13 77.98
With the nearest neighbours (Å) after each atom.
Space group P1 (No. 1)
Asymmetric unit:
Cs 0.0000 0.0000 0.0000 (multiplicity 1)  2 Cl 3.36-3.37
Cs 0.1224 0.0910 0.5258 (multiplicity 1)  4 Cl 3.40-3.67
I 0.3707 0.4003 0.0972 (multiplicity 1)  1 I 2.88
I 0.5581 0.5972 0.2681 (multiplicity 1)  1 Cl 2.63, 1 I 2.88
Cl 0.5526 0.0726 0.7628 (multiplicity 1)  4 Cs 3.36-3.42
Cl 0.7378 0.7986 0.4054 (multiplicity 1)  1 I 2.63

Results
The calculated density comes out at 3.028 Mg/m³. The calculation puts the total magnetization at 0.0 Bohr magnetons per cell.



*x*
This record from Alexandria describes CsICl after structural relaxation. The functional is PBE.

Lattice parameters (Å, degrees): 5.1396 4.9619 5.9332 90.00 110.33 90.00
With the nearest neighbours (Å) after each atom.
Space group P2/m (No. 10)
Asymmetric unit:
Cs 0.0000 0.0000 0.0000 (multiplicity 1)  4 Cl 3.57
I 0.5000 0.5000 0.5000 (multiplicity 1)  2 Cl 2.97
Cl 0.5000 0.5000 0.0000 (multiplicity 1)  2 I 2.97

Results
The calculated density comes out at 3.456 Mg/m³. The calculation puts the total magnetization at 0.0 Bohr magnetons per cell.



It is *w* that is the most stable of them.



*w*
This record from Alexandria describes CsICl after structural relaxation. The functional is PBE.

Lattice parameters (Å, degrees): 8.5605 6.7988 10.4274 90.00 91.59 90.00
With the nearest neighbours (Å) after each atom.
Space group C2/m (No. 12)
Asymmetric unit:
Cs 0.1986 0.0000 0.3134 (multiplicity 4)  4 Cl 3.47-3.53
I 0.0993 0.5000 0.1103 (multiplicity 4)  1 I 2.82, 1 Cl 3.01
Cl 0.2021 0.0000 0.6467 (multiplicity 4)  1 I 3.01

Results
The calculated density comes out at 3.233 Mg/m³. The calculation puts the total magnetization at 0.0 Bohr magnetons per cell.



*x*
This record from Alexandria describes CsICl after structural relaxation. The functional is PBE.

Lattice parameters (Å, degrees): 4.4810 5.7317 23.2589 90.00 90.00 90.00
With the nearest neighbours (Å) after each atom.
Space group Immm (No. 71)
Asymmetric unit:
Cs 0.0000 0.0000 0.1737 (multiplicity 4)  5 Cl 3.39-3.64
I 0.0000 0.2493 0.5000 (multiplicity 4)  2 I 2.86-2.87
Cl 0.0000 0.0000 0.3195 (multiplicity 4)  5 Cs 3.39-3.64

Results
The calculated density comes out at 3.283 Mg/m³. The calculation puts the total magnetization at 0.6 Bohr magnetons per cell.



It is *w* that is the most stable of them.



*w*
This record from Alexandria describes Cs4I2Cl after structural relaxation. The functional is PBE.

Lattice parameters (Å, degrees): 5.3322 5.3322 54.3298 90.00 90.00 120.00
With the nearest neighbours (Å) after each atom.
Space group R-3m (No. 166, hexagonal axes)
Asymmetric unit:
Cs 0.0000 0.0000 0.1230 (multiplicity 6)  3 I 3.90
Cs 0.0000 0.0000 0.3684 (multiplicity 6)  3 Cl 3.62, 3 I 3.89
I 0.0000 0.0000 0.2545 (multiplicity 6)  6 Cs 3.89-3.90
Cl 0.0000 0.0000 0.0000 (multiplicity 3)  6 Cs 3.62

Results
The calculated density comes out at 3.057 Mg/m³. The calculation puts the total magnetization at 0.0 Bohr magnetons per cell.



*x*
This record from Alexandria describes Cs4I2Cl after structural relaxation. The functional is PBE.

Lattice parameters (Å, degrees): 6.7583 6.7583 19.5387 90.00 90.00 90.00
With the nearest neighbours (Å) after each atom.
Space group I4/mmm (No. 139)
Asymmetric unit:
Cs 0.0000 0.0000 0.1899 (multiplicity 4)  1 Cl 3.71, 1 I 3.78
Cs 0.0000 0.5000 0.0000 (multiplicity 4)  2 Cl 3.38
I 0.0000 0.0000 0.3833 (multiplicity 4)  5 Cs 3.78-4.08
Cl 0.0000 0.0000 0.0000 (multiplicity 2)  6 Cs 3.38-3.71

Results
The calculated density comes out at 3.055 Mg/m³. The calculation puts the total magnetization at 0.0 Bohr magnetons per cell.



It is *w* that is the most stable of them.



*w*
This record from Alexandria describes CsI2Cl2 after structural relaxation. The functional is PBE.

Lattice parameters (Å, degrees): 9.7969 9.7969 3.9729 90.00 90.00 90.00
With the nearest neighbours (Å) after each atom.
Space group P4/mbm (No. 127)
Asymmetric unit:
Cs 0.0000 0.0000 0.0000 (multiplicity 2)  2 Cs 3.97, 8 Cl 4.00, 4 I 4.06
I 0.0976 0.4024 0.0000 (multiplicity 4)  1 I 2.70
Cl 0.2277 0.7277 0.5000 (multiplicity 4)  2 I 3.13

Results
The calculated density comes out at 3.986 Mg/m³. The calculation puts the total magnetization at 0.0 Bohr magnetons per cell.



*x*
This record from Alexandria describes CsI2Cl2 after structural relaxation. The functional is PBE.

Lattice parameters (Å, degrees): 9.7460 9.7460 4.5765 90.00 90.00 90.00
With the nearest neighbours (Å) after each atom.
Space group P4/mbm (No. 127)
Asymmetric unit:
Cs 0.0000 0.0000 0.0000 (multiplicity 2)  4 Cl 3.45
I 0.0979 0.4021 0.5000 (multiplicity 4)  1 I 2.70
Cl 0.2373 0.7373 0.0000 (multiplicity 4)  2 I 3.22, 2 Cs 3.45

Results
The calculated density comes out at 3.496 Mg/m³. The calculation puts the total magnetization at 2.0 Bohr magnetons per cell.



It is *x* that is the most stable of them.